1.
Below is a relaxed structure of PuInSe2O, with properties calculated at the PBE level.

```
data_PuInSe2O
_cell_length_a 3.879
_cell_length_b 3.879
_cell_length_c 14.924
_cell_angle_alpha 90.00
_cell_angle_beta 90.00
_cell_angle_gamma 90.00
_symmetry_space_group_name_H-M 'P 4/n m m'
_symmetry_Int_Tables_number 129
loop_
_symmetry_equiv_pos_as_xyz
'x,y,z'
'-x,-y,-z'
'-y+1/2,x,z'
'y+1/2,-x,-z'
'-x+1/2,-y+1/2,z'
'x+1/2,y+1/2,-z'
'y,-x+1/2,z'
'-y,x+1/2,-z'
'x+1/2,-y,-z'
'-x+1/2,y,z'
'-y,-x,-z'
'y,x,z'
'-x,y+1/2,-z'
'x,-y+1/2,z'
'y+1/2,x+1/2,-z'
'-y+1/2,-x+1/2,z'
loop_
_atom_site_label
_atom_site_fract_x
_atom_site_fract_y
_atom_site_fract_z
Pu1 0.250 0.250 0.083
In1 0.250 0.250 0.635
Se1 0.250 0.250 0.407
Se2 0.250 0.250 0.818
O1 0.250 0.750 0.000
```

Computed properties:
Energy relative to the elements, uncorrected   -1550 meV/atom
Spin magnetization   0.9083 μB/atom
Calculated density   7.9 g cm⁻³
D(E_F)   11.22 states/eV/cell



2.
Below is a relaxed structure of RbCu2PdCl6, with properties calculated at the PBE level.

```
data_RbCu2PdCl6
_cell_length_a 16.363
_cell_length_b 9.445
_cell_length_c 8.082
_cell_angle_alpha 90.00
_cell_angle_beta 119.35
_cell_angle_gamma 90.00
_symmetry_space_group_name_H-M 'C 1 2/c 1'
_symmetry_Int_Tables_number 15
_symmetry_space_group_name_Hall '-C 2yc'
loop_
_atom_site_label
_atom_site_fract_x
_atom_site_fract_y
_atom_site_fract_z
Rb1 0.000 0.119 0.250
Cu1 0.243 0.104 0.795
Pd1 0.000 0.282 0.750
Cl1 0.109 0.297 0.073
Cl2 0.120 0.266 0.673
Cl3 0.225 0.042 0.501
```

Computed properties:
Energy relative to the elements, uncorrected   -750 meV/atom
Spin magnetization   0.1075 μB/atom
Calculated density   3.2 g cm⁻³
D(E_F)   28.42 states/eV/cell



3.
Below is a relaxed structure of BaTaCd2, with properties calculated at the PBE level.

```
data_BaTaCd2
_cell_length_a 9.788
_cell_length_b 3.180
_cell_length_c 7.166
_cell_angle_alpha 90.00
_cell_angle_beta 97.31
_cell_angle_gamma 90.00
_symmetry_space_group_name_H-M 'C 1 2/m 1'
_symmetry_Int_Tables_number 12
_symmetry_space_group_name_Hall '-C 2y'
loop_
_atom_site_label
_atom_site_fract_x
_atom_site_fract_y
_atom_site_fract_z
Ba1 0.000 0.000 0.000
Ta1 0.000 0.500 0.500
Cd1 0.241 0.000 0.681
```

Computed properties:
Distance to the lowest polymorph of the same formula   0.85 eV/f.u.
Spin magnetization   0.0001 μB/atom
Calculated density   8.2 g cm⁻³
D(E_F)   8.11 states/eV/cell
ΔH_f (0 K)   0.532 eV/atom